# 1
VASP calculation (PBE-GGA) on crystalline LaRhI2O at its relaxed geometry.

abc: 6.4443 6.4443 4.2633
angles: 90.00 90.00 90.00
Space group P4/mmm (No. 123)
Unique sites:
La (0.0000, 0.0000, 0.0000) x1
Rh (0.5000, 0.5000, 0.5000) x1
I (0.0000, 0.5000, 0.0000) x2
O (0.0000, 0.0000, 0.5000) x1

As for the uncorrected formation energy: -0.617 eV/atom. Its polymorph energy (0 for the lowest one) is 32 meV per atom.


# 2
VASP calculation (PBE-GGA) on crystalline Ba4Pd at its relaxed geometry.

abc: 13.3274 13.3274 13.3274
angles: 90.00 90.00 90.00
Space group Fd-3m (No. 227, origin choice 2)
Unique sites:
Ba (0.0042, 0.0042, 0.2458) x32
Pd (0.1250, 0.1250, 0.6250) x8

For the formation energy, the calculation gives -0.06 eV/atom. Its polymorph energy (0 for the lowest one) is 213 meV per atom.